1.
Density functional theory data (PBEsol) for crystalline KAlSb at its relaxed geometry.

Summary:
SG = P-6m2 (187)
Energy relative to the lowest polymorph listed for this composition = 0.000 eV/atom
Uncorrected energy = -9.78 eV for the cell shown
Total magnetization = 0.00 μB/f.u.
Raw formation energy = 0.00 eV per atom

abc: 3.1581 5.3427 5.3427
angles: 120.00 90.00 90.00
Fractional positions:
K 0.0000 0.3333 0.6667
Sb 0.5000 0.6667 0.3333
Al 0.5000 0.0000 0.0000

=====

2.
Density functional theory data (PBEsol) for crystalline MgCd2P at its relaxed geometry.

Summary:
SG = Cmmm (65)
Uncorrected energy = -9.25 eV for the cell shown
Total magnetization = 0.00 μB/f.u.

abc: 3.1012 3.1012 8.2510
angles: 90.00 90.00 94.02
Fractional positions:
Cd 0.0000 0.0000 0.7638
Cd 0.0000 0.0000 0.2362
P 0.5000 0.5000 0.0000
Mg 0.5000 0.5000 0.5000

=====

3.
Density functional theory data (PBEsol) for crystalline AlCuAs2 at its relaxed geometry.

Summary:
SG = P4mm (99)
Uncorrected energy = -18.07 eV for the cell shown
Total magnetization = 0.00 μB/f.u.

abc: 2.7629 2.7629 8.5452
angles: 90.00 90.00 89.98
Fractional positions:
Al 0.5000 0.5000 0.2847
As 0.0000 0.0000 0.0350
As 0.5000 0.5000 0.6994
Cu 0.0000 0.0000 0.4809

=====

4.
Density functional theory data (PBEsol) for crystalline BaMg2Sb2 at its relaxed geometry.

Summary:
SG = P-3m1 (164)
Uncorrected energy = -18.55 eV for the cell shown
Total magnetization = 0.00 μB/f.u.
Raw formation energy = -0.77 eV per atom

abc: 4.7678 4.7678 8.0830
angles: 90.00 90.00 120.00
Fractional positions:
Sb 0.6667 0.3333 0.7344
Sb 0.3333 0.6667 0.2656
Mg 0.3333 0.6667 0.6246
Mg 0.6667 0.3333 0.3754
Ba 0.0000 0.0000 0.0000

=====

5.
Density functional theory data (PBEsol) for crystalline LiY2Ta at its relaxed geometry.

Summary:
SG = I-42d (122)
Energy relative to the lowest polymorph listed for this composition = 0.536 eV/atom
Uncorrected energy = -48.72 eV for the cell shown
Total magnetization = 0.00 μB/f.u.

abc: 4.3364 4.3364 10.4462
angles: 101.98 101.98 90.00
Fractional positions:
Ta 0.2500 0.7500 0.5000
Ta 0.0000 0.0000 0.0000
Y 0.3745 0.8750 0.2500
Y 0.6250 0.6255 0.7500
Y 0.1250 0.1245 0.7500
Y 0.8755 0.3750 0.2500
Li 0.5000 0.5000 0.0000
Li 0.7500 0.2500 0.5000

=====

6.
Density functional theory data (PBEsol) for crystalline K2ZrHF7 at its relaxed geometry.

Summary:
SG = Pbca (61)
Uncorrected energy = -500.63 eV for the cell shown
Total magnetization = 0.10 μB/f.u.

abc: 8.4915 11.4410 13.3035
angles: 90.00 90.00 90.00
Fractional positions:
F 0.1739 0.4073 0.2539
F 0.0890 0.8161 0.0319
F 0.0757 0.1092 0.2992
F 0.8082 0.4716 0.4180
F 0.6739 0.0927 0.2539
F 0.4152 0.9369 0.0441
F 0.5848 0.5631 0.5441
F 0.9110 0.1839 0.9681
F 0.5757 0.3908 0.2992
F 0.3082 0.5284 0.0820
F 0.0969 0.6304 0.8444
F 0.5757 0.8908 0.2008
F 0.2968 0.2998 0.5839
F 0.0969 0.1304 0.6556
F 0.9110 0.6839 0.5319
F 0.7968 0.2002 0.5839
F 0.7032 0.2002 0.0839
F 0.9152 0.0631 0.4559
F 0.5969 0.3696 0.6556
F 0.1918 0.5284 0.5820
F 0.8082 0.9716 0.0820
F 0.7968 0.7002 0.9161
F 0.3261 0.4073 0.7539
F 0.4152 0.4369 0.4559
F 0.3261 0.9073 0.7461
F 0.6918 0.9716 0.5820
F 0.5848 0.0631 0.9559
F 0.2968 0.7998 0.9161
F 0.6739 0.5927 0.2461
F 0.9031 0.3696 0.1556
F 0.5890 0.6839 0.0319
F 0.2032 0.2998 0.0839
F 0.9031 0.8696 0.3444
F 0.9152 0.5631 0.0441
F 0.9243 0.8908 0.7008
F 0.8261 0.0927 0.7539
F 0.1739 0.9073 0.2461
F 0.8261 0.5927 0.7461
F 0.2032 0.7998 0.4161
F 0.9243 0.3908 0.7992
F 0.4243 0.1092 0.7992
F 0.5969 0.8696 0.8444
F 0.0757 0.6092 0.2008
F 0.4031 0.6304 0.3444
F 0.0848 0.9369 0.5441
F 0.6918 0.4716 0.9180
F 0.4031 0.1304 0.1556
F 0.1918 0.0284 0.9180
F 0.3082 0.0284 0.4180
F 0.7032 0.7002 0.4161
F 0.5890 0.1839 0.4681
F 0.4110 0.8161 0.5319
F 0.4110 0.3161 0.9681
F 0.0890 0.3161 0.4681
F 0.0848 0.4369 0.9559
F 0.4243 0.6092 0.7008
Zr 0.9056 0.0397 0.6190
Zr 0.4056 0.9603 0.8810
Zr 0.5944 0.0397 0.1190
Zr 0.0944 0.9603 0.3810
Zr 0.0944 0.4603 0.1190
Zr 0.9056 0.5397 0.8810
Zr 0.4056 0.4603 0.6190
Zr 0.5944 0.5397 0.3810
H 0.3228 0.3067 0.0202
H 0.8228 0.1933 0.0202
H 0.1772 0.8067 0.9798
H 0.8228 0.6933 0.4798
H 0.6772 0.6933 0.9798
H 0.6772 0.1933 0.5202
H 0.1772 0.3067 0.5202
H 0.3228 0.8067 0.4798
K 0.1121 0.5667 0.3942
K 0.3879 0.0667 0.6058
K 0.8879 0.4333 0.6058
K 0.3487 0.7401 0.1679
K 0.3487 0.2401 0.3321
K 0.1513 0.2401 0.8321
K 0.8487 0.2599 0.3321
K 0.1513 0.7401 0.6679
K 0.8879 0.9333 0.8942
K 0.6121 0.4333 0.1058
K 0.1121 0.0667 0.1058
K 0.8487 0.7599 0.1679
K 0.6513 0.2599 0.8321
K 0.6121 0.9333 0.3942
K 0.3879 0.5667 0.8942
K 0.6513 0.7599 0.6679

=====

7.
Density functional theory data (PBEsol) for crystalline LaAlP2 at its relaxed geometry.

Summary:
SG = F-43m (216)
Uncorrected energy = -21.40 eV for the cell shown
Total magnetization = 0.00 μB/f.u.

abc: 4.8176 4.8176 4.8176
angles: 60.00 60.00 60.00
Fractional positions:
P 0.0000 0.0000 0.0000
P 0.7500 0.7500 0.7500
Al 0.5000 0.5000 0.5000
La 0.2500 0.2500 0.2500

=====

8.
Density functional theory data (PBEsol) for crystalline Cd6Au7 at its relaxed geometry.

Summary:
SG = R-3m (166)
Uncorrected energy = -35.94 eV for the cell shown
Total magnetization = 0.00 μB/f.u.

abc: 5.5177 5.5177 9.9242
angles: 73.86 73.86 60.00
Fractional positions:
Au 0.5000 0.5000 0.5000
Au 0.5869 0.0837 0.7424
Au 0.9163 0.4131 0.2576
Au 0.4131 0.4131 0.2576
Au 0.4131 0.9163 0.2576
Au 0.0837 0.5869 0.7424
Au 0.5869 0.5869 0.7424
Cd 0.0508 0.0508 0.8476
Cd 0.3331 0.3331 0.0007
Cd 0.6669 0.6669 0.9993
Cd 0.1572 0.1572 0.5285
Cd 0.9492 0.9492 0.1524
Cd 0.8428 0.8428 0.4715

=====

Q: The highest uncorrected energy belongs to which entry?
A: MgCd2P

=====

Q: Which value of uncorrected energy does entry 2 give?
A: -9.25 eV for the cell shown